First-principles (PBE-GGA) data for Al2CrRe after structural relaxation, as listed in Alexandria.

a b c (Å): 4.6628 4.6628 4.6628
angles (deg): 130.11 130.11 73.23
With the nearest neighbours (Å) after each atom.
Positions (direct):
Re 0.7500 0.2500 0.5000  8 Al 2.71, 4 Cr 2.78
Al 0.0000 0.0000 0.0000  4 Cr 2.71, 4 Re 2.71, 4 Al 2.78
Al 0.5000 0.5000 0.0000  4 Re 2.71, 4 Cr 2.71, 4 Al 2.78
Cr 0.2500 0.7500 0.5000  8 Al 2.71, 4 Re 2.78

Calculated values
DFT total energy: -7.430 eV/atom
Fermi-level density of states: 0.904 states/eV/atom
E_form: -0.04 eV per atom
magnetization: 2.55 Bohr magnetons per cell

First-principles (PBE-GGA) data for Al2CrRe after structural relaxation, as listed in Alexandria.

a b c (Å): 2.6854 2.6854 8.6093
angles (deg): 90.00 90.00 111.97
With the nearest neighbours (Å) after each atom.
Positions (direct):
Re 0.5000 0.5000 0.7375  2 Cr 2.51, 2 Al 2.66, 4 Re 2.69
Al 0.0000 0.0000 0.9924  2 Re 2.66, 6 Al 2.69-2.80
Al 0.5000 0.5000 0.2666  2 Cr 2.53, 6 Al 2.69-2.80
Cr 0.0000 0.0000 0.5035  2 Re 2.51, 2 Al 2.53, 4 Cr 2.69

Calculated values
DFT total energy: -7.313 eV/atom
Fermi-level density of states: 0.617 states/eV/atom
E_form: 0.08 eV per atom
magnetization: 0.00 Bohr magnetons per cell

First-principles (PBE-GGA) data for AlCrRe2 after structural relaxation, as listed in Alexandria.

a b c (Å): 4.2921 4.2921 4.2921
angles (deg): 60.00 60.00 60.00
With the nearest neighbours (Å) after each atom.
Positions (direct):
Re 0.0000 0.0000 0.0000  4 Re 2.63, 4 Cr 2.63
Re 0.7500 0.7500 0.7500  4 Re 2.63, 4 Al 2.63
Al 0.5000 0.5000 0.5000  4 Cr 2.63, 4 Re 2.63
Cr 0.2500 0.2500 0.2500  4 Re 2.63, 4 Al 2.63

Calculated values
DFT total energy: -9.611 eV/atom
Fermi-level density of states: 0.516 states/eV/atom
E_form: -0.05 eV per atom
magnetization: 0.00 Bohr magnetons per cell

First-principles (PBE-GGA) data for AlCrRe2 after structural relaxation, as listed in Alexandria.

a b c (Å): 4.1661 2.6847 5.1203
angles (deg): 78.11 90.00 90.00
With the nearest neighbours (Å) after each atom.
Positions (direct):
Re 0.0000 0.9637 0.9990  2 Cr 2.57, 4 Re 2.59-2.69, 2 Al 2.64
Re 0.0000 0.5363 0.5010  2 Cr 2.57, 4 Re 2.59-2.69, 2 Al 2.64
Al 0.5000 0.2500 0.2500  2 Cr 2.63, 8 Re 2.64-2.94, 2 Al 2.68
Cr 0.5000 0.7500 0.7500  4 Re 2.57, 2 Al 2.63, 2 Cr 2.68

Calculated values
DFT total energy: -9.602 eV/atom
Fermi-level density of states: 0.633 states/eV/atom
E_form: -0.04 eV per atom
magnetization: 0.00 Bohr magnetons per cell